Arrangement P

A relaxed Fe2CuPtBr crystal. Source: Alexandria via LeMat-Bulk, functional GGA-PBE.

The calculation puts the total magnetization at 6.50 μB per cell.

```
data_Fe2CuPtBr
_space_group_name_H-M_alt 'P 1'
_space_group_IT_number 1
_space_group_name_Hall 'P 1'
_cell_length_a 4.549
_cell_length_b 4.656
_cell_length_c 4.549
_cell_angle_alpha 90.00
_cell_angle_beta 90.00
_cell_angle_gamma 90.00
loop_
_atom_site_label
_atom_site_type_symbol
_atom_site_fract_x
_atom_site_fract_y
_atom_site_fract_z
Cu1 Cu 0.000 0.000 0.000
Br1 Br 0.500 0.500 0.500
Pt1 Pt 0.000 0.500 0.000
Fe1 Fe 0.000 0.000 0.500
Fe2 Fe 0.500 0.000 0.000
```

Arrangement Q

A relaxed Fe2CuPtBr crystal. Source: Alexandria via LeMat-Bulk, functional GGA-PBE.

The calculation puts the total magnetization at 4.19 μB per cell.

```
data_Fe2CuPtBr
_space_group_name_H-M_alt 'P 1'
_space_group_IT_number 1
_space_group_name_Hall 'P 1'
_cell_length_a 4.331
_cell_length_b 4.798
_cell_length_c 4.331
_cell_angle_alpha 90.00
_cell_angle_beta 90.00
_cell_angle_gamma 90.00
loop_
_atom_site_label
_atom_site_type_symbol
_atom_site_fract_x
_atom_site_fract_y
_atom_site_fract_z
Cu1 Cu 0.500 0.500 0.500
Br1 Br 0.000 0.000 0.000
Pt1 Pt 0.000 0.500 0.000
Fe1 Fe 0.000 0.000 0.500
Fe2 Fe 0.500 0.000 0.000
```

Result of the stability comparison: arrangement Q is the least stable of them.

Arrangement P

A relaxed GaCu2Br crystal. Source: Alexandria via LeMat-Bulk, functional GGA-PBE.

The calculation puts the total magnetization at 0.00 μB per cell.

```
data_GaCu2Br
_space_group_name_H-M_alt 'P 1'
_space_group_IT_number 1
_space_group_name_Hall 'P 1'
_cell_length_a 6.343
_cell_length_b 6.343
_cell_length_c 6.099
_cell_angle_alpha 58.67
_cell_angle_beta 58.67
_cell_angle_gamma 90.00
loop_
_atom_site_label
_atom_site_type_symbol
_atom_site_fract_x
_atom_site_fract_y
_atom_site_fract_z
Cu1 Cu 0.614 0.125 0.250
Cu2 Cu 0.136 0.625 0.250
Cu3 Cu 0.375 0.386 0.750
Cu4 Cu 0.875 0.864 0.750
Ga1 Ga 0.500 0.500 0.000
Ga2 Ga 0.250 0.750 0.500
Br1 Br 0.000 0.000 0.000
Br2 Br 0.750 0.250 0.500
```

Arrangement Q

A relaxed GaCu2Br crystal. Source: Alexandria via LeMat-Bulk, functional GGA-PBE.

The calculation puts the total magnetization at 0.00 μB per cell.

```
data_GaCu2Br
_space_group_name_H-M_alt 'P 1'
_space_group_IT_number 1
_space_group_name_Hall 'P 1'
_cell_length_a 4.651
_cell_length_b 4.651
_cell_length_c 4.651
_cell_angle_alpha 60.00
_cell_angle_beta 60.00
_cell_angle_gamma 60.00
loop_
_atom_site_label
_atom_site_type_symbol
_atom_site_fract_x
_atom_site_fract_y
_atom_site_fract_z
Cu1 Cu 0.250 0.250 0.250
Cu2 Cu 0.750 0.750 0.750
Ga1 Ga 0.000 0.000 0.000
Br1 Br 0.500 0.500 0.500
```

Result of the stability comparison: arrangement Q is the least stable of them.

Arrangement P

A relaxed Ga3CuBr crystal. Source: Alexandria via LeMat-Bulk, functional GGA-PBE.

The calculation puts the total magnetization at 0.00 μB per cell.

```
data_Ga3CuBr
_space_group_name_H-M_alt 'P 1'
_space_group_IT_number 1
_space_group_name_Hall 'P 1'
_cell_length_a 5.591
_cell_length_b 5.591
_cell_length_c 5.591
_cell_angle_alpha 90.00
_cell_angle_beta 90.00
_cell_angle_gamma 90.00
loop_
_atom_site_label
_atom_site_type_symbol
_atom_site_fract_x
_atom_site_fract_y
_atom_site_fract_z
Cu1 Cu 0.500 0.500 0.500
Ga1 Ga 0.000 0.500 0.000
Ga2 Ga 0.000 0.000 0.500
Ga3 Ga 0.500 0.000 0.000
Br1 Br 0.000 0.000 0.000
```

Arrangement Q

A relaxed Ga3CuBr crystal. Source: Alexandria via LeMat-Bulk, functional GGA-PBE.

The calculation puts the total magnetization at 0.00 μB per cell.

```
data_Ga3CuBr
_space_group_name_H-M_alt 'P 1'
_space_group_IT_number 1
_space_group_name_Hall 'P 1'
_cell_length_a 4.828
_cell_length_b 4.828
_cell_length_c 4.828
_cell_angle_alpha 90.00
_cell_angle_beta 90.00
_cell_angle_gamma 90.00
loop_
_atom_site_label
_atom_site_type_symbol
_atom_site_fract_x
_atom_site_fract_y
_atom_site_fract_z
Cu1 Cu 0.000 0.000 0.000
Ga1 Ga 0.000 0.500 0.000
Ga2 Ga 0.000 0.000 0.500
Ga3 Ga 0.500 0.000 0.000
Br1 Br 0.500 0.500 0.500
```

Result of the stability comparison: arrangement P is the least stable of them.